PuHg2Sb2 GGA-PBE relaxed; uncorrected formation energy = -0.252 eV per atom
1.0
2.2327 -12.9932 0.0000
2.2327 12.9932 0.0000
0.0000 0.0000 4.4104
Pu Hg Sb
2 4 4
Direct
0.1541 0.8459 0.7500 Pu
0.8459 0.1541 0.2500 Pu
0.0463 0.9537 0.2500 Hg
0.4514 0.5486 0.2500 Hg
0.5486 0.4514 0.7500 Hg
0.9537 0.0463 0.7500 Hg
0.2502 0.7498 0.2500 Sb
0.3583 0.6417 0.7500 Sb
0.6417 0.3583 0.2500 Sb
0.7498 0.2502 0.7500 Sb

---

PuHgSb GGA-PBE relaxed; E above lowest polymorph = 0.0 kJ/mol of atoms; uncorrected formation energy = -0.248 eV per atom
1.0
-2.0467 2.0467 4.8273
2.0467 -2.0467 4.8273
2.0467 2.0467 -4.8273
Pu Hg Sb
1 1 1
Direct
0.0000 0.0000 0.0000 Pu
0.3249 0.3249 0.0000 Hg
0.6550 0.6550 0.0000 Sb

---

PuHgSb2 GGA-PBE relaxed; E above lowest polymorph = 0.0 kJ/mol of atoms; uncorrected formation energy = -0.353 eV per atom
1.0
4.8251 0.0000 0.0000
0.0000 4.8251 0.0000
0.0000 0.0000 4.3482
Pu Hg Sb
1 1 2
Direct
0.0000 0.0000 0.0000 Pu
0.5000 0.5000 0.0000 Hg
0.0000 0.5000 0.5000 Sb
0.5000 0.0000 0.5000 Sb

---

Pu2HgSb GGA-PBE relaxed; E above lowest polymorph = 26.4 kJ/mol of atoms; uncorrected formation energy = -0.126 eV per atom
1.0
1.7717 1.0229 10.1348
-1.7717 1.0229 10.1348
0.0000 -2.0457 10.1348
Pu Hg Sb
2 1 1
Direct
0.2479 0.2479 0.2479 Pu
0.7521 0.7521 0.7521 Pu
0.0000 0.0000 0.0000 Hg
0.5000 0.5000 0.5000 Sb

---

Pu2HgSb GGA-PBE relaxed; E above lowest polymorph = 0.0 kJ/mol of atoms; uncorrected formation energy = -0.399 eV per atom
1.0
4.9792 0.0000 0.0000
0.0000 4.9792 0.0000
0.0000 0.0000 4.2614
Pu Hg Sb
2 1 1
Direct
0.0000 0.5000 0.0000 Pu
0.5000 0.0000 0.0000 Pu
0.0000 0.0000 0.5000 Hg
0.5000 0.5000 0.5000 Sb

---

PuHgSb GGA-PBE relaxed; E above lowest polymorph = 5.5 kJ/mol of atoms; uncorrected formation energy = -0.191 eV per atom
1.0
0.0000 3.6218 3.6218
3.6218 0.0000 3.6218
3.6218 3.6218 0.0000
Pu Hg Sb
1 1 1
Direct
0.0000 0.0000 0.0000 Pu
0.7500 0.7500 0.7500 Hg
0.2500 0.2500 0.2500 Sb

---

Pu2HgSb4 GGA-PBE relaxed; E above lowest polymorph = 3.5 kJ/mol of atoms; uncorrected formation energy = -0.358 eV per atom
1.0
4.4506 -4.6889 0.0000
4.4506 4.6889 0.0000
-4.4406 0.0000 4.6848
Pu Hg Sb
2 1 4
Direct
0.0000 0.5000 0.0000 Pu
0.5000 0.0000 0.0000 Pu
0.0000 0.0000 0.5000 Hg
0.0000 0.0000 0.0000 Sb
0.0000 0.5000 0.5000 Sb
0.5000 0.0000 0.5000 Sb
0.5000 0.5000 0.0000 Sb

---

PuHgSb GGA-PBE relaxed; E above lowest polymorph = 0.1 kJ/mol of atoms; uncorrected formation energy = -0.247 eV per atom
1.0
5.2511 0.0000 0.0000
-2.6256 4.5476 0.0000
0.0000 0.0000 3.2221
Pu Hg Sb
1 1 1
Direct
0.0000 0.0000 0.0000 Pu
0.6667 0.3333 0.5000 Hg
0.3333 0.6667 0.5000 Sb

---

Pu2HgSb GGA-PBE relaxed; E above lowest polymorph = 2.3 kJ/mol of atoms; uncorrected formation energy = -0.375 eV per atom
1.0
0.0000 3.7732 3.7732
3.7732 0.0000 3.7732
3.7732 3.7732 0.0000
Pu Hg Sb
2 1 1
Direct
0.2500 0.2500 0.2500 Pu
0.7500 0.7500 0.7500 Pu
0.0000 0.0000 0.0000 Hg
0.5000 0.5000 0.5000 Sb

---

PuHgSb GGA-PBE relaxed; E above lowest polymorph = 23.7 kJ/mol of atoms; uncorrected formation energy = -0.002 eV per atom
1.0
2.6019 -7.9160 0.0000
2.6019 7.9160 0.0000
0.0000 0.0000 3.5325
Pu Hg Sb
2 2 2
Direct
0.0472 0.9528 0.7500 Pu
0.9528 0.0472 0.2500 Pu
0.2234 0.7766 0.2500 Hg
0.7766 0.2234 0.7500 Hg
0.4154 0.5846 0.7500 Sb
0.5846 0.4154 0.2500 Sb

---

Pu2HgSb2 GGA-PBE relaxed; uncorrected formation energy = -0.344 eV per atom
1.0
5.3601 0.0000 0.0000
-2.6800 4.6420 0.0000
0.0000 0.0000 6.2685
Pu Hg Sb
2 1 2
Direct
0.3333 0.6667 0.2213 Pu
0.6667 0.3333 0.7787 Pu
0.0000 0.0000 0.0000 Hg
0.3333 0.6667 0.7137 Sb
0.6667 0.3333 0.2863 Sb

---

PuHgSb2 GGA-PBE relaxed; E above lowest polymorph = 25.3 kJ/mol of atoms; uncorrected formation energy = -0.091 eV per atom
1.0
2.5774 1.4880 4.6520
-2.5774 1.4880 4.6520
0.0000 -2.9761 4.6520
Pu Hg Sb
1 1 2
Direct
0.0000 0.0000 0.0000 Pu
0.5000 0.5000 0.5000 Hg
0.2399 0.2399 0.2399 Sb
0.7601 0.7601 0.7601 Sb

---

Pu2HgSb4 GGA-PBE relaxed; E above lowest polymorph = 0.0 kJ/mol of atoms; uncorrected formation energy = -0.394 eV per atom
1.0
4.3834 0.0000 0.0000
0.0000 4.3834 0.0000
0.0000 0.0000 10.0971
Pu Hg Sb
2 1 4
Direct
0.0000 0.5000 0.2415 Pu
0.5000 0.0000 0.7585 Pu
0.0000 0.0000 0.5000 Hg
0.0000 0.0000 0.0000 Sb
0.0000 0.5000 0.6918 Sb
0.5000 0.0000 0.3082 Sb
0.5000 0.5000 0.0000 Sb

---

PuTlHgSb GGA-PBE relaxed; uncorrected formation energy = -0.155 eV per atom
1.0
0.0000 3.8330 3.8330
3.8330 0.0000 3.8330
3.8330 3.8330 0.0000
Pu Tl Hg Sb
1 1 1 1
Direct
0.0000 0.0000 0.0000 Pu
0.5000 0.5000 0.5000 Tl
0.7500 0.7500 0.7500 Hg
0.2500 0.2500 0.2500 Sb

---

TmPuHgSb GGA-PBE relaxed; uncorrected formation energy = -0.447 eV per atom
1.0
0.0000 3.7365 3.7365
3.7365 0.0000 3.7365
3.7365 3.7365 0.0000
Tm Pu Hg Sb
1 1 1 1
Direct
0.0000 0.0000 0.0000 Tm
0.5000 0.5000 0.5000 Pu
0.2500 0.2500 0.2500 Hg
0.7500 0.7500 0.7500 Sb

---

Pu2ScHg4 GGA-PBE relaxed; energy of formation from the pure elements = -12.68 kJ/mol of atoms
1.0
-2.4548 2.4548 7.5124
2.4548 -2.4548 7.5124
2.4548 2.4548 -7.5124
Pu Sc Hg
2 1 4
Direct
0.2460 0.2460 0.0000 Pu
0.7540 0.7540 0.0000 Pu
0.5000 0.5000 0.0000 Sc
0.1054 0.6054 0.5000 Hg
0.3946 0.8946 0.5000 Hg
0.6054 0.1054 0.5000 Hg
0.8946 0.3946 0.5000 Hg

---

Pu3ScHg4 GGA-PBE relaxed; energy of formation from the pure elements = -18.58 kJ/mol of atoms
1.0
3.2854 0.0000 0.0000
0.0000 3.2854 0.0000
0.0000 0.0000 17.9570
Pu Sc Hg
3 1 4
Direct
0.0000 0.0000 0.0000 Pu
0.0000 0.0000 0.2614 Pu
0.0000 0.0000 0.7386 Pu
0.0000 0.0000 0.5000 Sc
0.5000 0.5000 0.1305 Hg
0.5000 0.5000 0.3919 Hg
0.5000 0.5000 0.6081 Hg
0.5000 0.5000 0.8695 Hg

---

Pu3ScHg12 GGA-PBE relaxed; energy of formation from the pure elements = -10.18 kJ/mol of atoms
1.0
4.5837 0.0000 0.0000
0.0000 4.7031 0.0000
0.0000 0.0000 18.6167
Pu Sc Hg
3 1 12
Direct
0.0000 0.0000 0.0000 Pu
0.0000 0.0000 0.2573 Pu
0.0000 0.0000 0.7427 Pu
0.0000 0.0000 0.5000 Sc
0.0000 0.5000 0.1289 Hg
0.0000 0.5000 0.3840 Hg
0.0000 0.5000 0.6160 Hg
0.0000 0.5000 0.8711 Hg
0.5000 0.0000 0.1288 Hg
0.5000 0.0000 0.3852 Hg
0.5000 0.0000 0.6148 Hg
0.5000 0.0000 0.8712 Hg
0.5000 0.5000 0.0000 Hg
0.5000 0.5000 0.2596 Hg
0.5000 0.5000 0.5000 Hg
0.5000 0.5000 0.7404 Hg

---

PuSc2Hg3 GGA-PBE relaxed; energy of formation from the pure elements = -30.74 kJ/mol of atoms
1.0
3.5017 0.0000 0.0000
0.0000 3.5017 0.0000
0.0000 0.0000 11.3433
Pu Sc Hg
1 2 3
Direct
0.0000 0.0000 0.0000 Pu
0.0000 0.0000 0.3447 Sc
0.0000 0.0000 0.6553 Sc
0.5000 0.5000 0.1936 Hg
0.5000 0.5000 0.5000 Hg
0.5000 0.5000 0.8064 Hg

---

Pu2ScHg GGA-PBE relaxed; energy of formation from the pure elements = -4.16 kJ/mol of atoms
1.0
4.3251 0.0000 0.0000
0.0000 4.3251 0.0000
0.0000 0.0000 5.1385
Pu Sc Hg
2 1 1
Direct
0.0000 0.5000 0.0000 Pu
0.5000 0.0000 0.0000 Pu
0.0000 0.0000 0.5000 Sc
0.5000 0.5000 0.5000 Hg